Run i
18
Lattice="-4.850 2.337 1.326 0.246 -3.759 -4.067 -1.444 -6.196 5.639" Properties=species:S:1:pos:R:3 comment="NdCrTeO6 (PBE+U, relaxed)" crystal_system=trigonal sg="P-31c (163)" pbc="T T T"
O -3.057 -2.788 -2.309
O -4.503 -6.235 3.277
O -4.272 -2.421 4.192
O -1.776 -5.198 -1.294
O -5.771 -4.381 4.990
O -3.492 -3.483 0.151
O -0.276 -3.238 -2.092
O -2.991 -4.831 5.207
O -5.312 -4.052 2.133
O -0.736 -3.567 0.764
O -1.544 -1.384 -0.380
O -2.555 -4.137 2.746
Nd -3.512 -1.244 0.938
Nd -2.536 -6.375 1.960
Te -1.814 -3.276 -0.860
Te -4.234 -4.343 3.758
Cr 0.000 0.000 0.000
Cr -0.722 -3.098 2.820

Run ii
18
Lattice="5.228 0.000 0.000 -2.614 4.527 0.000 0.000 0.000 10.237" Properties=species:S:1:pos:R:3 comment="NdCrTeO6 (PBE+U, relaxed)" crystal_system=trigonal sg="P-31c (163)" pbc="T T T"
O 3.309 0.045 3.653
O 0.921 1.684 8.771
O 1.919 0.045 1.466
O 1.616 2.888 6.584
O -0.921 1.684 6.584
O -0.695 4.483 6.584
O -1.616 2.888 8.771
O 1.693 2.843 1.466
O 0.695 4.483 8.771
O 4.230 1.640 1.466
O 0.998 1.640 3.653
O 3.535 2.843 3.653
Cr 0.000 3.018 2.559
Cr 2.614 1.509 7.678
Nd 0.000 0.000 5.118
Nd 0.000 0.000 0.000
Te 2.614 1.509 2.559
Te 0.000 3.018 7.678

The structure with the least stability is run i.